A relaxed structure of CaMgAg6, computed with PBE.

Its total energy is -2.753 eV per atom. The calculation puts the total moment at 0.00 Bohr magnetons per cell. The density of states at the Fermi level is 2.936 states/eV/f.u. Its crystal system is orthorhombic. The formation energy comes out at -0.165 eV per atom.

The space group is Pmm2 (No. 25) and the conventional cell measures 4.902, 6.132 and 5.180 Å, with angles of 90.00, 90.00 and 90.00 degrees. The inequivalent atoms are Ca at (0.000, 0.000, 0.000), Mg at (0.500, 0.500, 0.327), Ag at (0.000, 0.266, 0.496), Ag at (0.000, 0.500, 0.996), Ag at (0.500, 0.000, 0.374) and Ag at (0.500, 0.266, 0.833).